4
Lattice="4.750 0.001 0.002 3.924 2.677 0.002 0.902 0.279 4.672" Properties=species:S:1:pos:R:3 comment="PBE Zn2IrW, relaxed" de_polymorph_ev_per_atom=0.171 spacegroup="No. 12" density_g_cm3=14.18 formation_energy_mev_per_atom=73 pbc="T T T"
W 7.182 2.218 3.506
Zn 8.645 2.669 0.028
Zn 4.817 1.487 2.313
Ir 2.394 0.739 1.169



4
Lattice="-0.568 -4.136 1.195 0.351 -1.120 4.181 -3.536 -1.145 2.245" Properties=species:S:1:pos:R:3 comment="PBE Zn2IrW, relaxed" de_polymorph_ev_per_atom=0.425 spacegroup="No. 225" density_g_cm3=14.54 formation_energy_mev_per_atom=327 pbc="T T T"
Zn -2.815 -4.801 5.716
Zn -0.938 -1.600 1.905
Ir -1.876 -3.201 3.811
W 0.000 0.000 0.000



4
Lattice="-2.121 -3.308 -3.174 -2.906 -3.383 2.371 0.304 5.041 0.112" Properties=species:S:1:pos:R:3 comment="PBE ZrIr2W, relaxed" de_polymorph_ev_per_atom=0.161 spacegroup="No. 119" density_g_cm3=16.61 formation_energy_mev_per_atom=-297 pbc="T T T"
Zr -2.558 -0.844 1.040
W -2.514 -3.346 -0.401
Ir -2.165 -0.806 -1.732
Ir -5.028 -6.690 -0.803



4
Lattice="4.862 0.008 -0.006 1.399 4.656 0.006 -3.127 -2.337 2.898" Properties=species:S:1:pos:R:3 comment="PBE ZrIr2W, relaxed" de_polymorph_ev_per_atom=0.085 spacegroup="No. 139" density_g_cm3=16.70 formation_energy_mev_per_atom=-374 pbc="T T T"
Ir 3.131 2.333 0.000
Zr 0.702 2.326 1.452
Ir 6.261 4.665 0.000
W 2.433 0.002 1.446



4
Lattice="-0.354 -0.561 2.828 -1.390 -3.528 -0.874 5.389 -2.183 0.242" Properties=species:S:1:pos:R:3 comment="PBE ZrIr2W, relaxed" de_polymorph_ev_per_atom=0.054 spacegroup="No. 47" density_g_cm3=16.64 formation_energy_mev_per_atom=-404 pbc="T T T"
Ir 0.080 -0.033 0.004
W 0.475 -2.591 1.037
Ir 2.614 -1.059 0.117
Zr 3.170 -3.682 1.159



4
Lattice="-3.744 2.307 1.974 -2.991 -3.345 -1.762 0.314 -1.544 2.399" Properties=species:S:1:pos:R:3 comment="PBE ZrIr2W, relaxed" de_polymorph_ev_per_atom=0.188 spacegroup="No. 123" density_g_cm3=16.42 formation_energy_mev_per_atom=-271 pbc="T T T"
Zr -1.339 -2.445 0.319
Ir -3.367 -0.519 0.106
Ir 0.000 0.000 0.000
W -1.715 0.382 2.187



4
Lattice="-0.825 -2.398 1.385 2.277 -1.409 -1.085 4.293 2.130 6.246" Properties=species:S:1:pos:R:3 comment="PBE ZrIr2W, relaxed" de_polymorph_ev_per_atom=0.000 spacegroup="No. 123" density_g_cm3=16.66 formation_energy_mev_per_atom=-459 pbc="T T T"
Ir 2.062 1.023 3.000
Ir 0.084 0.042 0.122
Zr 3.946 -0.306 4.834
W 1.800 -1.371 1.711



10
Lattice="7.802 0.000 0.000 0.000 7.802 0.000 0.000 0.000 2.790" Properties=species:S:1:pos:R:3 comment="PBE ZrIr2W2, relaxed" spacegroup="No. 127" density_g_cm3=16.49 formation_energy_mev_per_atom=-185 pbc="T T T"
W 4.846 0.946 0.000
Ir 5.251 6.452 1.395
Ir 1.350 5.251 1.395
Ir 6.452 2.551 1.395
W 6.856 4.846 0.000
Zr 0.000 0.000 0.000
W 2.955 6.856 0.000
Ir 2.551 1.350 1.395
Zr 3.901 3.901 0.000
W 0.946 2.955 0.000



4
Lattice="2.836 0.047 0.000 -0.048 2.836 0.000 0.000 0.000 8.269" Properties=species:S:1:pos:R:3 comment="PBE ZrIr2W, relaxed" de_polymorph_ev_per_atom=0.384 spacegroup="No. 99" density_g_cm3=16.46 formation_energy_mev_per_atom=-74 pbc="T T T"
Zr 1.394 1.442 6.289
Ir 0.000 0.000 0.123
W 0.000 0.000 3.926
Ir 1.394 1.442 2.065



5
Lattice="-1.890 1.890 6.870 1.890 -1.890 6.870 1.890 1.890 -6.870" Properties=species:S:1:pos:R:3 comment="PBE Zr2IrW2, relaxed" spacegroup="No. 139" density_g_cm3=12.56 formation_energy_mev_per_atom=1164 pbc="T T T"
W 0.000 0.000 8.026
Zr 1.890 0.000 3.435
Zr 0.000 1.890 3.435
W 0.000 0.000 5.713
Ir 0.000 0.000 0.000



6
Lattice="2.863 -0.231 4.449 -2.424 -0.416 4.690 0.283 -4.527 2.735" Properties=species:S:1:pos:R:3 comment="PBE ZrIrW4, relaxed" spacegroup="No. 216" density_g_cm3=16.11 formation_energy_mev_per_atom=198 pbc="T T T"
W 0.272 -1.948 4.470
W 1.686 -2.062 6.669
W -0.927 -2.153 6.788
Zr 0.541 -3.880 8.906
Ir 0.000 0.000 0.000
W 0.411 -4.185 5.821



4
Lattice="-0.396 -3.330 2.359 2.684 -1.995 -2.365 2.928 1.255 2.264" Properties=species:S:1:pos:R:3 comment="PBE ZrIr2W, relaxed" de_polymorph_ev_per_atom=0.082 spacegroup="No. 123" density_g_cm3=16.69 formation_energy_mev_per_atom=-377 pbc="T T T"
W 1.266 -1.037 2.311
Ir 1.144 -2.663 -0.003
Ir 0.000 0.000 0.000
Zr 2.806 -0.370 -0.051



12
Lattice="-1.987 -1.196 4.054 0.532 -6.436 -1.637 7.050 3.569 1.817" Properties=species:S:1:pos:R:3 comment="PBE Zr6Ir5W, relaxed" spacegroup="No. 71" density_g_cm3=12.87 formation_energy_mev_per_atom=-671 pbc="T T T"
Ir 4.124 -0.161 1.973
Zr 3.098 0.839 4.456
Zr 2.233 -1.699 0.593
Zr 2.498 -4.901 -0.221
Ir 4.528 -3.384 1.221
Zr -0.859 -2.218 1.615
Ir 0.266 -3.218 -0.819
Zr 3.363 -2.364 3.641
Zr -0.595 -5.414 0.802
W 0.000 0.000 0.000
Ir 1.068 -0.678 3.014
Ir 1.472 -3.902 2.261



4
Lattice="9.422 -0.027 -0.016 8.995 2.806 -0.016 8.995 1.357 2.456" Properties=species:S:1:pos:R:3 comment="PBE ZrIr2W, relaxed" de_polymorph_ev_per_atom=0.351 spacegroup="No. 166" density_g_cm3=16.62 formation_energy_mev_per_atom=-108 pbc="T T T"
Ir 27.249 4.112 2.410
Zr 20.558 3.102 1.818
Ir 13.868 2.093 1.227
W 6.853 1.034 0.606



5
Lattice="-0.810 -4.742 1.293 4.752 -0.420 1.435 -1.257 1.466 4.592" Properties=species:S:1:pos:R:3 comment="PBE Zr3IrW, relaxed" de_polymorph_ev_per_atom=0.000 spacegroup="No. 221" density_g_cm3=8.73 formation_energy_mev_per_atom=842 pbc="T T T"
Zr 2.376 -0.210 0.718
Zr -0.629 0.733 2.296
Zr -0.405 -2.371 0.646
W 1.342 -1.848 3.660
Ir 0.000 0.000 0.000



5
Lattice="4.969 0.000 0.000 0.000 4.969 0.000 0.000 0.000 4.969" Properties=species:S:1:pos:R:3 comment="PBE Zr3IrW, relaxed" de_polymorph_ev_per_atom=0.251 spacegroup="No. 221" density_g_cm3=8.79 formation_energy_mev_per_atom=1093 pbc="T T T"
Zr 2.484 0.000 0.000
Zr 0.000 2.484 0.000
Zr 0.000 0.000 2.484
Ir 2.484 2.484 2.484
W 0.000 0.000 0.000



4
Lattice="-2.644 0.817 -1.917 0.301 -2.915 -1.658 -3.693 -2.639 3.969" Properties=species:S:1:pos:R:3 comment="PBE ZrIr2W, relaxed" de_polymorph_ev_per_atom=0.277 spacegroup="No. 99" density_g_cm3=16.02 formation_energy_mev_per_atom=-182 pbc="T T T"
Ir -2.186 -1.773 -0.697
Zr -4.016 -3.081 1.270
W -1.692 -1.209 1.819
Ir -3.682 -2.631 3.957



5
Lattice="-1.818 -2.601 -3.508 3.785 -2.834 0.139 -2.178 -2.754 3.170" Properties=species:S:1:pos:R:3 comment="PBE ZrIr3W, relaxed" de_polymorph_ev_per_atom=0.000 spacegroup="No. 221" density_g_cm3=13.36 formation_energy_mev_per_atom=1020 pbc="T T T"
Ir -0.909 -1.300 -1.754
W 0.000 0.000 0.000
Zr -0.105 -4.094 -0.100
Ir -1.089 -1.377 1.585
Ir 1.893 -1.417 0.070



4
Lattice="4.624 0.000 0.000 0.000 2.892 0.006 0.000 0.600 4.974" Properties=species:S:1:pos:R:3 comment="PBE ZrIr2W, relaxed" de_polymorph_ev_per_atom=0.049 spacegroup="No. 6" density_g_cm3=16.47 formation_energy_mev_per_atom=-410 pbc="T T T"
Ir 2.312 0.505 1.529
Zr 2.312 2.523 4.049
Ir 0.000 1.047 4.724
W 0.000 1.762 2.140



4
Lattice="4.928 0.002 -0.007 4.106 2.724 -0.007 0.811 0.245 4.924" Properties=species:S:1:pos:R:3 comment="PBE ZrIr2W, relaxed" de_polymorph_ev_per_atom=0.334 spacegroup="No. 12" density_g_cm3=16.58 formation_energy_mev_per_atom=-125 pbc="T T T"
Ir 4.903 1.479 2.559
Zr 2.461 0.743 1.227
Ir 0.831 0.251 4.820
W 7.384 2.228 3.682



4
Lattice="0.000 3.230 3.230 3.230 0.000 3.230 3.230 3.230 0.000" Properties=species:S:1:pos:R:3 comment="PBE ZrIr2W, relaxed" de_polymorph_ev_per_atom=0.364 spacegroup="No. 225" density_g_cm3=16.24 formation_energy_mev_per_atom=-94 pbc="T T T"
Zr 0.000 0.000 0.000
Ir 1.615 1.615 1.615
W 3.230 3.230 3.230
Ir 4.846 4.846 4.846



4
Lattice="4.993 0.003 0.001 4.161 2.761 0.001 0.775 0.234 4.827" Properties=species:S:1:pos:R:3 comment="PBE ZrIr2W, relaxed" de_polymorph_ev_per_atom=0.133 spacegroup="No. 8" density_g_cm3=16.48 formation_energy_mev_per_atom=-325 pbc="T T T"
Ir 0.116 0.035 0.104
Zr 2.540 0.767 1.044
W 4.859 1.467 2.655
Ir 7.378 2.227 3.442



4
Lattice="6.475 0.004 0.012 -2.588 4.091 0.000 1.298 0.825 2.471" Properties=species:S:1:pos:R:3 comment="PBE ZrIr2W, relaxed" de_polymorph_ev_per_atom=0.048 spacegroup="No. 65" density_g_cm3=16.75 formation_energy_mev_per_atom=-411 pbc="T T T"
W -0.645 2.458 1.236
Ir 0.000 0.000 0.000
Zr 1.943 2.048 0.006
Ir 3.886 0.415 1.242



10
Lattice="-1.447 -0.875 6.410 -5.298 -3.610 -1.689 2.405 -3.557 0.057" Properties=species:S:1:pos:R:3 comment="PBE Zr2Ir2W, relaxed" spacegroup="No. 127" density_g_cm3=13.21 formation_energy_mev_per_atom=-414 pbc="T T T"
Ir -1.659 -1.060 3.860
Zr -2.628 -4.369 0.011
Zr -0.196 -2.695 1.815
W 0.000 0.000 0.000
Ir -5.086 -3.425 0.861
Zr -1.711 -3.673 4.767
Ir -4.630 -3.059 4.442
W -3.372 -2.243 2.361
Ir -2.115 -1.426 0.279
Zr -4.144 -5.347 2.964



8
Lattice="-2.382 -1.074 3.260 1.031 -4.009 -0.567 6.104 -1.546 6.627" Properties=species:S:1:pos:R:3 comment="PBE ZrIr2W, relaxed" de_polymorph_ev_per_atom=0.786 spacegroup="No. 122" density_g_cm3=14.51 formation_energy_mev_per_atom=327 pbc="T T T"
Ir 3.422 -5.710 7.312
Ir 1.934 -2.998 1.626
Zr 3.229 -4.048 3.703
W 1.523 -2.580 5.617
Ir 4.044 -2.962 5.995
W 0.000 0.000 0.000
Ir 0.105 -1.586 3.708
Zr -0.676 -2.541 1.346



4
Lattice="9.578 -0.019 -0.011 9.158 2.805 -0.011 9.158 1.362 2.453" Properties=species:S:1:pos:R:3 comment="PBE ZrIr2W, relaxed" de_polymorph_ev_per_atom=0.510 spacegroup="No. 160" density_g_cm3=16.43 formation_energy_mev_per_atom=52 pbc="T T T"
Ir 6.920 1.029 0.603
W 14.152 2.105 1.233
Zr 20.835 3.098 1.815
Ir 27.827 4.138 2.425



6
Lattice="0.000 3.664 3.664 3.664 0.000 3.664 3.664 3.664 0.000" Properties=species:S:1:pos:R:3 comment="PBE ZrIr4W, relaxed" spacegroup="No. 216" density_g_cm3=17.62 formation_energy_mev_per_atom=-144 pbc="T T T"
W 5.496 5.496 5.496
Ir 4.577 4.577 2.751
Ir 4.577 2.751 4.577
Zr 0.000 0.000 0.000
Ir 2.751 2.751 2.751
Ir 2.751 4.577 4.577



6
Lattice="-0.446 1.495 -3.399 3.625 -5.275 -0.739 -5.519 -3.670 -0.889" Properties=species:S:1:pos:R:3 comment="PBE Y2Ir, relaxed" spacegroup="No. 36" density_g_cm3=7.97 formation_energy_mev_per_atom=-647 pbc="T T T"
Y -1.797 -6.310 -2.539
Ir -1.721 -3.554 -3.394
Ir 2.641 -3.851 -4.098
Y -2.060 -2.457 -0.810
Y -4.621 -4.108 -3.257
Y 0.751 -4.193 -1.943



3
Lattice="-4.523 1.637 -0.273 -2.473 -0.431 -4.111 -3.672 -3.105 -0.287" Properties=species:S:1:pos:R:3 comment="PBE Y2Ir, relaxed" spacegroup="No. 225" density_g_cm3=7.77 formation_energy_mev_per_atom=-661 pbc="T T T"
Ir 0.000 0.000 0.000
Y -8.001 -1.425 -3.504
Y -2.667 -0.475 -1.168



Total DFT energy (no corrections) for every record listed, in sequence, given in eV per atom: -6.02; -5.76; -10.10; -10.18; -10.21; -10.08; -10.26; -10.62; -9.88; -9.21; -11.34; -10.18; -9.72; -9.91; -8.65; -8.40; -9.99; -8.60; -10.22; -9.93; -9.90; -10.13; -10.22; -9.97; -9.48; -9.75; -9.63; -7.91; -7.92.
V for every record listed, in sequence, given in Å³ per atom: 14.844; 14.475; 16.482; 16.395; 16.448; 16.675; 16.430; 16.981; 16.633; 19.635; 17.506; 16.408; 18.189; 16.476; 24.725; 24.535; 17.086; 21.169; 16.621; 16.517; 16.855; 16.616; 16.349; 18.871; 18.874; 16.659; 16.395; 25.700; 26.350.